Entry 1:
Material: Er3Tm3Tc2Ag
Method: DFT, PBE
State: optimized geometry

Properties
**Electronic total energy**: -5.68 eV per atom
**Energy of formation from the pure elements**: -0.39 eV per formula unit
**V**: 24.02 A^3/atom

a b c (Å): 3.8365 8.0659 8.0659
angles (deg): 120.00 90.00 90.00
Last column: nearest neighbours and their distance in Å.
Positions (direct):
Er (0.5000, 0.7208, 0.0000)  2 Tc 2.93, 2 Ag 2.96, 2 Tm 3.21
Er (0.5000, 0.0000, 0.7208)  2 Tc 2.93, 2 Ag 2.96, 2 Tm 3.21
Er (0.5000, 0.2792, 0.2792)  2 Tc 2.93, 2 Ag 2.96, 2 Tm 3.21
Tc (0.5000, 0.3333, 0.6667)  3 Er 2.93, 6 Tm 3.12
Tc (0.5000, 0.6667, 0.3333)  3 Er 2.93, 6 Tm 3.12
Tm (0.0000, 0.4012, 0.0000)  4 Tc 3.12, 6 Er 3.21-3.45, 1 Ag 3.24
Tm (0.0000, 0.5988, 0.5988)  4 Tc 3.12, 6 Er 3.21-3.45, 1 Ag 3.24
Tm (0.0000, 0.0000, 0.4012)  4 Tc 3.12, 6 Er 3.21-3.45, 1 Ag 3.24
Ag (0.0000, 0.0000, 0.0000)  6 Er 2.96, 3 Tm 3.24

=====

Entry 2:
Material: Co2HgPt
Method: DFT, PBE
State: optimized geometry

Properties
**Electronic total energy**: -4.90 eV per atom
**Energy of formation from the pure elements**: 0.97 eV per formula unit
**V**: 14.71 A^3/atom

a b c (Å): 2.7996 2.7996 7.5089
angles (deg): 90.00 90.00 90.00
Last column: nearest neighbours and their distance in Å.
Positions (direct):
Co (0.0000, 0.0000, 0.5187)  4 Pt 2.63, 4 Co 2.80, 4 Hg 2.83
Co (0.0000, 0.0000, 0.9813)  4 Pt 2.63, 4 Co 2.80, 4 Hg 2.83
Hg (0.5000, 0.5000, 0.2500)  4 Hg 2.80, 8 Co 2.83
Pt (0.5000, 0.5000, 0.7500)  8 Co 2.63, 4 Pt 2.80

=====

Entry 3:
Material: BaEr6
Method: DFT, PBE
State: optimized geometry

Properties
**Electronic total energy**: -2.89 eV per atom
**Energy of formation from the pure elements**: 9.07 eV per formula unit
**V**: 43.81 A^3/atom

a b c (Å): 7.3582 7.3582 7.3582
angles (deg): 109.47 109.47 109.47
Last column: nearest neighbours and their distance in Å.
Positions (direct):
Er (0.2500, 0.7500, 0.5000)  4 Er 3.00
Er (0.7500, 0.5000, 0.2500)  4 Er 3.00
Er (0.5000, 0.7500, 0.2500)  4 Er 3.00
Er (0.5000, 0.2500, 0.7500)  4 Er 3.00
Er (0.7500, 0.2500, 0.5000)  4 Er 3.00
Er (0.2500, 0.5000, 0.7500)  4 Er 3.00
Ba (0.0000, 0.0000, 0.0000)  24 Er 4.75

=====

Entry 4:
Material: HfCo2As2
Method: DFT, PBE
State: optimized geometry

Properties
**Electronic total energy**: -6.91 eV per atom
**Energy of formation from the pure elements**: -1.09 eV per formula unit
**V**: 14.59 A^3/atom

a b c (Å): 7.1045 7.1045 2.8913
angles (deg): 90.00 90.00 90.00
Last column: nearest neighbours and their distance in Å.
Positions (direct):
Hf (0.5000, 0.5000, 0.0000)  4 As 2.70, 2 Hf 2.89
Hf (0.0000, 0.0000, 0.0000)  4 As 2.70, 2 Hf 2.89
As (0.1504, 0.3496, 0.0000)  6 Co 2.51-2.57, 2 Hf 2.70
As (0.6504, 0.1504, 0.0000)  6 Co 2.51-2.57, 2 Hf 2.70
As (0.8496, 0.6504, 0.0000)  6 Co 2.51-2.57, 2 Hf 2.70
As (0.3496, 0.8496, 0.0000)  6 Co 2.51-2.57, 2 Hf 2.70
Co (0.8620, 0.3620, 0.5000)  6 As 2.51-2.57, 1 Co 2.77
Co (0.1380, 0.6380, 0.5000)  6 As 2.51-2.57, 1 Co 2.77
Co (0.6380, 0.8620, 0.5000)  6 As 2.51-2.57, 1 Co 2.77
Co (0.3620, 0.1380, 0.5000)  6 As 2.51-2.57, 1 Co 2.77

=====

Entry 5:
Material: ReAgF2
Method: DFT, PBE
State: optimized geometry

Properties
**Electronic total energy**: -4.48 eV per atom
**Energy above the most stable polymorph in this dataset**: 1.121 eV per atom
**E_form (uncorrected)**: 0.277 eV per atom
**V**: 14.76 A^3/atom

a b c (Å): 4.3709 4.3709 4.3709
angles (deg): 60.00 60.00 60.00
Last column: nearest neighbours and their distance in Å.
Positions (direct):
F (0.7500, 0.7500, 0.7500)  4 Ag 2.68, 4 Re 2.68
F (0.2500, 0.2500, 0.2500)  4 Re 2.68, 4 Ag 2.68
Re (0.5000, 0.5000, 0.5000)  8 F 2.68
Ag (0.0000, 0.0000, 0.0000)  8 F 2.68

=====

Entry 6:
Material: CaAcSnPt
Method: DFT, PBE
State: optimized geometry

Properties
**Electronic total energy**: -4.75 eV per atom
**Energy of formation from the pure elements**: -2.86 eV per formula unit
**V**: 28.06 A^3/atom

a b c (Å): 5.4142 5.4142 5.4142
angles (deg): 60.00 60.00 60.00
Last column: nearest neighbours and their distance in Å.
Positions (direct):
Pt (0.7500, 0.7500, 0.7500)  4 Ac 3.32, 4 Ca 3.32
Sn (0.2500, 0.2500, 0.2500)  4 Ac 3.32, 4 Ca 3.32
Ac (0.0000, 0.0000, 0.0000)  4 Pt 3.32, 4 Sn 3.32
Ca (0.5000, 0.5000, 0.5000)  4 Sn 3.32, 4 Pt 3.32

=====

Entry 7:
Material: Li2Al2H7
Method: DFT, PBE
State: optimized geometry

Properties
**Electronic total energy**: -3.22 eV per atom
**V**: 9.84 A^3/atom

a b c (Å): 5.3493 5.3493 8.3751
angles (deg): 103.62 103.62 102.79
Last column: nearest neighbours and their distance in Å.
Positions (direct):
Al (0.8004, 0.8004, 0.3384)  4 H 1.65-1.75
Al (0.8004, 0.8004, 0.8384)  4 H 1.65-1.75
Al (0.1996, 0.1996, 0.1616)  4 H 1.65-1.75
Al (0.1996, 0.1996, 0.6616)  4 H 1.65-1.75
H (0.0920, 0.4426, 0.6054)  1 Al 1.65
H (0.3796, 0.3796, 0.3639)  1 Al 1.67
H (0.0920, 0.4426, 0.1054)  1 Al 1.65
H (0.9080, 0.5574, 0.8946)  1 Al 1.65
H (0.4426, 0.0920, 0.6054)  1 Al 1.65
H (0.5574, 0.9080, 0.3946)  1 Al 1.65
H (0.0000, 0.0000, 0.2500)  2 Al 1.75
H (0.3796, 0.3796, 0.8639)  1 Al 1.67
H (0.6204, 0.6204, 0.1361)  1 Al 1.67
H (0.4426, 0.0920, 0.1054)  1 Al 1.65
H (0.9080, 0.5574, 0.3946)  1 Al 1.65
H (0.5574, 0.9080, 0.8946)  1 Al 1.65
H (0.6204, 0.6204, 0.6361)  1 Al 1.67
H (0.0000, 0.0000, 0.7500)  2 Al 1.75
Li (0.3139, 0.6861, 0.0000)  6 H 1.92-2.06
Li (0.6861, 0.3139, 0.0000)  6 H 1.92-2.06
Li (0.3139, 0.6861, 0.5000)  6 H 1.92-2.06
Li (0.6861, 0.3139, 0.5000)  6 H 1.92-2.06

=====

Entry 8:
Material: LiTl2Os
Method: DFT, PBE
State: optimized geometry

Properties
**Electronic total energy**: -3.98 eV per atom
**Energy above the most stable polymorph in this dataset**: 0.041 eV per atom
**Energy of formation from the pure elements**: 1.94 eV per formula unit
**V**: 19.14 A^3/atom

a b c (Å): 5.4585 5.4585 4.6059
angles (deg): 73.74 73.74 35.72
Last column: nearest neighbours and their distance in Å.
Positions (direct):
Tl (0.0162, 0.0162, 0.9225)  4 Li 2.72-3.02, 3 Os 2.88-2.96
Tl (0.2507, 0.2507, 0.2950)  1 Li 2.78, 4 Os 2.84-2.86
Li (0.4809, 0.4809, 0.4855)  5 Tl 2.72-3.02, 2 Os 2.92
Os (0.7523, 0.7523, 0.7970)  7 Tl 2.84-2.96, 2 Li 2.92

=====

Entry 9:
Material: NiSnTe4
Method: DFT, PBE
State: optimized geometry

Properties
**Electronic total energy**: -3.85 eV per atom
**E_form (uncorrected)**: -0.129 eV per atom
**V**: 27.06 A^3/atom

a b c (Å): 4.0910 5.4099 7.3369
angles (deg): 88.83 90.00 90.00
Last column: nearest neighbours and their distance in Å.
Positions (direct):
Sn (0.0000, 0.5000, 0.5000)  6 Te 3.00-3.02
Ni (0.5000, 0.5000, 0.0000)  6 Te 2.65-2.68
Te (0.5000, 0.7944, 0.7073)  1 Ni 2.65
Te (0.5000, 0.2056, 0.2927)  1 Ni 2.65
Te (0.0000, 0.7585, 0.1337)  2 Ni 2.68
Te (0.0000, 0.2415, 0.8663)  2 Ni 2.68

=====

Entry 10:
Material: CeDy2HoSe6
Method: DFT, PBE
State: optimized geometry

Properties
**Electronic total energy**: -5.88 eV per atom
**E_form (uncorrected)**: -1.820 eV per atom
**V**: 29.86 A^3/atom

a b c (Å): 7.2798 7.2798 7.7462
angles (deg): 61.97 61.97 60.00
Last column: nearest neighbours and their distance in Å.
Positions (direct):
Dy (0.5157, 0.5157, 0.4530)  6 Se 2.85-2.90
Dy (0.0123, 0.0123, 0.9630)  6 Se 2.83-2.91
Se (0.6098, 0.2257, 0.2480)  2 Dy 2.85-2.91, 1 Ho 2.85, 1 Ce 3.02
Se (0.9166, 0.6098, 0.2480)  2 Dy 2.85-2.91, 1 Ho 2.85, 1 Ce 3.02
Se (0.3981, 0.7230, 0.7503)  2 Dy 2.83-2.90, 1 Ho 2.89, 1 Ce 2.94
Se (0.7230, 0.1285, 0.7503)  2 Dy 2.83-2.90, 1 Ho 2.89, 1 Ce 2.94
Se (0.1285, 0.3981, 0.7503)  2 Dy 2.83-2.90, 1 Ho 2.89, 1 Ce 2.94
Se (0.2257, 0.9166, 0.2480)  2 Dy 2.85-2.91, 1 Ho 2.85, 1 Ce 3.02
Ho (0.3183, 0.3183, 0.0451)  6 Se 2.85-2.89
Ce (0.8136, 0.8136, 0.5593)  6 Se 2.94-3.02

=====

Entry 11:
Material: Rb2SrH
Method: DFT, PBE
State: optimized geometry

Properties
**Electronic total energy**: -1.59 eV per atom
**Energy above the most stable polymorph in this dataset**: 0.102 eV per atom
**V**: 57.72 A^3/atom

a b c (Å): 8.7299 8.7299 8.6498
angles (deg): 59.69 59.69 90.00
Last column: nearest neighbours and their distance in Å.
Positions (direct):
Rb (0.8750, 0.6667, 0.7500)  2 H 2.68
Rb (0.3750, 0.5833, 0.7500)  2 H 2.68
Rb (0.3333, 0.6250, 0.2500)  2 H 2.68
Rb (0.4167, 0.1250, 0.2500)  2 H 2.68
H (0.5000, 0.5000, 0.0000)  4 Rb 2.68
H (0.2500, 0.7500, 0.5000)  4 Rb 2.68
Sr (0.7500, 0.2500, 0.5000)  8 Rb 4.80-5.05, 4 H 5.31, 4 Sr 5.31
Sr (0.0000, 0.0000, 0.0000)  8 Rb 4.80-5.05, 4 H 5.31, 4 Sr 5.31

=====

Entry 12:
Material: Pu2InGa4Pd3
Method: DFT, PBE
State: optimized geometry

Properties
**Electronic total energy**: -6.40 eV per atom
**Energy of formation from the pure elements**: -4.95 eV per formula unit
**V**: 19.87 A^3/atom

a b c (Å): 4.1684 4.1684 11.4344
angles (deg): 90.00 90.00 90.00
Last column: nearest neighbours and their distance in Å.
Positions (direct):
Pd (0.0000, 0.5000, 0.1326)  5 Ga 2.49-2.58
Pd (0.0000, 0.0000, 0.5000)  4 Ga 2.70, 4 In 2.95
Pd (0.5000, 0.0000, 0.8674)  5 Ga 2.49-2.58
Pu (0.5000, 0.0000, 0.2382)  4 Pd 3.19, 8 Ga 3.21-3.43
Pu (0.0000, 0.5000, 0.7618)  4 Pd 3.19, 8 Ga 3.21-3.43
Ga (0.5000, 0.5000, 0.0000)  4 Pd 2.58
Ga (0.0000, 0.0000, 0.0000)  4 Pd 2.58
Ga (0.5000, 0.0000, 0.6496)  3 Pd 2.49-2.70, 2 In 2.70
Ga (0.0000, 0.5000, 0.3504)  3 Pd 2.49-2.70, 2 In 2.70
In (0.5000, 0.5000, 0.5000)  4 Ga 2.70, 4 Pd 2.95